# YRuBr (PBEsol, optimized geometry)
data_YRuBr
_symmetry_space_group_name_H-M 'F -4 3 m'
_symmetry_Int_Tables_number 216
_symmetry_space_group_name_Hall 'F -4 2 3'
_cell_length_a 6.278
_cell_length_b 6.278
_cell_length_c 6.278
_cell_angle_alpha 90.00
_cell_angle_beta 90.00
_cell_angle_gamma 90.00
loop_
_atom_site_label
_atom_site_type_symbol
_atom_site_fract_x
_atom_site_fract_y
_atom_site_fract_z
_atom_site_occupancy
Y1 Y 0.000 0.000 0.000 1
Ru1 Ru 0.250 0.250 0.250 1
Br1 Br 0.000 0.000 0.500 1
# DFT total energy = -19.1 eV/f.u.
# crystal system = cubic
# formation energy from raw total energies = -0.08 eV/atom